A plane-wave DFT calculation with PBE was carried out for CeBi3S6 after structural relaxation.

Summary:
energy relative to the elements, uncorrected = -766 meV/atom
total DFT energy (no corrections) = -5.001 eV/atom

a = 11.6686 Å, b = 4.0408 Å, c = 11.6823 Å
α = 90.00°, β = 106.27°, γ = 90.00°
Closest atoms and distances in Å follow each position.
Space group P2_1/m (No. 11)
Inequivalent atoms, fractional coordinates:
Ce  0.0398  0.2500  0.1870  8 S 2.89-3.03
Bi  0.1541  0.2500  0.5923  3 S 2.68
Bi  0.3068  0.7500  0.0189  3 S 2.67-2.76
Bi  0.4316  0.2500  0.3357  4 S 2.71-3.01
S  0.0688  0.7500  0.3868  1 Bi 2.68
S  0.1070  0.2500  0.9609  3 Ce 2.89-2.96, 2 Bi 3.02
S  0.1927  0.7500  0.7489  2 Bi 2.68
S  0.2386  0.7500  0.2192  1 Bi 2.67
S  0.4107  0.2500  0.5863  4 Bi 2.71-3.01
S  0.4655  0.2500  0.1144  3 Bi 2.72-2.76

A plane-wave DFT calculation with PBE was carried out for Pm2Cu4SnGe3 after structural relaxation.

Summary:
energy of formation = -480 meV/atom
total DFT energy (no corrections) = -4.854 eV/atom

a = 4.2283 Å, b = 4.2283 Å, c = 10.3658 Å
α = 90.00°, β = 90.00°, γ = 90.00°
Closest atoms and distances in Å follow each position.
Space group P-4m2 (No. 115)
Inequivalent atoms, fractional coordinates:
Pm  0.0000  0.5000  0.2338  6 Ge 3.19-3.48, 8 Cu 3.22-3.24, 2 Sn 3.48
Cu  0.0000  0.0000  0.0000  4 Ge 2.48
Cu  0.0000  0.5000  0.6454  3 Ge 2.38-2.60, 2 Sn 2.60
Cu  0.5000  0.5000  0.0000  4 Ge 2.48
Sn  0.0000  0.0000  0.5000  4 Cu 2.60
Ge  0.0000  0.5000  0.8746  5 Cu 2.38-2.48
Ge  0.5000  0.5000  0.5000  4 Cu 2.60

A plane-wave DFT calculation with PBE was carried out for MgTl2HgI6 after structural relaxation.

Summary:
energy relative to the elements, uncorrected = -615 meV/atom
total DFT energy (no corrections) = -2.208 eV/atom

a = 8.2525 Å, b = 8.2572 Å, c = 9.1870 Å
α = 90.54°, β = 116.42°, γ = 119.63°
Closest atoms and distances in Å follow each position.
Space group P1 (No. 1)
Inequivalent atoms, fractional coordinates:
Mg  0.0000  0.0000  0.0000  3 I 2.79
Tl  0.4076  0.7000  0.1063  6 I 3.37-3.66
Tl  0.4528  0.2214  0.6770  6 I 3.41-3.73
Hg  0.8624  0.4283  0.2902  3 I 2.78-2.79
I  0.1572  0.8012  0.3033  1 Hg 2.78
I  0.1789  0.9057  0.8457  1 Mg 2.79
I  0.5035  0.3503  0.3070  1 Hg 2.78
I  0.5769  0.6677  0.8403  1 Mg 2.79
I  0.9401  0.2684  0.8424  1 Mg 2.79
I  0.9562  0.1454  0.3019  1 Hg 2.79

A plane-wave DFT calculation with PBE was carried out for K2MnPb after structural relaxation.

Summary:
energy of formation = 371 meV/atom
total DFT energy (no corrections) = -3.397 eV/atom

a = 7.9498 Å, b = 7.9498 Å, c = 7.9498 Å
α = 90.00°, β = 90.00°, γ = 90.00°
Closest atoms and distances in Å follow each position.
Space group F-43m (No. 216)
Inequivalent atoms, fractional coordinates:
K  0.0000  0.0000  0.0000  4 K 3.44, 4 Pb 3.44
K  0.2500  0.2500  0.2500  4 Mn 3.44, 4 K 3.44
Mn  0.0000  0.0000  0.5000  4 Pb 3.44, 4 K 3.44
Pb  0.2500  0.2500  0.7500  4 K 3.44, 4 Mn 3.44

A plane-wave DFT calculation with PBE was carried out for TaBeCr2 after structural relaxation.

Summary:
energy of formation = 289 meV/atom
total DFT energy (no corrections) = -8.417 eV/atom

a = 2.5587 Å, b = 2.5587 Å, c = 7.7704 Å
α = 90.00°, β = 90.00°, γ = 90.00°
Closest atoms and distances in Å follow each position.
Space group P4/mmm (No. 123)
Inequivalent atoms, fractional coordinates:
Ta  0.0000  0.0000  0.0000  4 Ta 2.56
Be  0.0000  0.0000  0.5000  8 Cr 2.42, 4 Be 2.56
Cr  0.5000  0.5000  0.2941  4 Be 2.42, 4 Cr 2.56

A plane-wave DFT calculation with PBE was carried out for PrErTl after structural relaxation.

Summary:
E above lowest polymorph = 37.1 meV/atom
energy of formation = -215 meV/atom
total DFT energy (no corrections) = -4.118 eV/atom

a = 3.6683 Å, b = 3.6683 Å, c = 13.7028 Å
α = 90.00°, β = 90.00°, γ = 90.00°
Closest atoms and distances in Å follow each position.
Space group I4mm (No. 107)
Inequivalent atoms, fractional coordinates:
Pr  0.0000  0.0000  0.0000  4 Tl 3.45, 4 Er 3.66, 4 Pr 3.67
Er  0.0000  0.0000  0.6886  4 Tl 3.27, 4 Pr 3.66
Tl  0.0000  0.0000  0.3340  4 Er 3.27, 4 Pr 3.45

A plane-wave DFT calculation with PBE was carried out for BaTl14Bi after structural relaxation.

Summary:
energy of formation = -74 meV/atom
total DFT energy (no corrections) = -2.507 eV/atom

a = 11.2967 Å, b = 7.2464 Å, c = 12.5148 Å
α = 90.00°, β = 90.00°, γ = 90.00°
Closest atoms and distances in Å follow each position.
Space group Amm2 (No. 38)
Inequivalent atoms, fractional coordinates:
Ba  0.0000  0.0000  0.0000  10 Tl 3.61-3.66, 2 Bi 3.62
Tl  0.0000  0.2323  0.7434  7 Tl 3.37-3.60, 2 Bi 3.50-3.74, 2 Ba 3.61-3.63
Tl  0.2353  0.0000  0.3238  11 Tl 3.44-3.65, 1 Bi 3.44
Tl  0.2622  0.0000  0.8282  11 Tl 3.39-3.66, 1 Ba 3.66
Tl  0.2617  0.2396  0.5792  10 Tl 3.37-3.77, 1 Bi 3.57, 1 Ba 3.64
Tl  0.5000  0.0000  0.1596  12 Tl 3.44-3.71
Tl  0.5000  0.0000  0.6630  12 Tl 3.37-3.68
Tl  0.5000  0.2406  0.4043  12 Tl 3.41-3.76
Bi  0.0000  0.0000  0.4984  10 Tl 3.44-3.74, 2 Ba 3.62

A plane-wave DFT calculation with PBE was carried out for Sc3CoCl after structural relaxation.

Summary:
energy relative to the elements, uncorrected = -205 meV/atom
E above lowest polymorph = 0.0 meV/atom
total DFT energy (no corrections) = -5.795 eV/atom

a = 4.8899 Å, b = 4.8899 Å, c = 4.8899 Å
α = 90.00°, β = 90.00°, γ = 90.00°
Closest atoms and distances in Å follow each position.
Space group Pm-3m (No. 221)
Inequivalent atoms, fractional coordinates:
Sc  0.0000  0.0000  0.5000  2 Co 2.44
Co  0.0000  0.0000  0.0000  6 Sc 2.44
Cl  0.5000  0.5000  0.5000  12 Sc 3.46

A plane-wave DFT calculation with PBE was carried out for BeNb3Co after structural relaxation.

Summary:
E above lowest polymorph = 0.0 meV/atom
energy of formation = 778 meV/atom
total DFT energy (no corrections) = -7.431 eV/atom

a = 4.3525 Å, b = 4.3525 Å, c = 4.3525 Å
α = 90.00°, β = 90.00°, γ = 90.00°
Closest atoms and distances in Å follow each position.
Space group Pm-3m (No. 221)
Inequivalent atoms, fractional coordinates:
Be  0.0000  0.0000  0.0000  6 Nb 2.18
Nb  0.0000  0.0000  0.5000  2 Be 2.18
Co  0.5000  0.5000  0.5000  12 Nb 3.08

A plane-wave DFT calculation with PBE was carried out for Ac2Ce2CoSb2 after structural relaxation.

Summary:
energy relative to the elements, uncorrected = -792 meV/atom
total DFT energy (no corrections) = -5.854 eV/atom

a = 4.9115 Å, b = 4.9115 Å, c = 18.0675 Å
α = 90.00°, β = 90.00°, γ = 90.00°
Closest atoms and distances in Å follow each position.
Space group I4/mmm (No. 139)
Inequivalent atoms, fractional coordinates:
Ac  0.0000  0.0000  0.1727  1 Co 3.12
Ce  0.0000  0.5000  0.0000  2 Co 2.46
Co  0.0000  0.0000  0.0000  4 Ce 2.46
Sb  0.0000  0.0000  0.3675  4 Ce 3.43, 5 Ac 3.52-3.55

A plane-wave DFT calculation with PBE was carried out for Bi5SbPb6 after structural relaxation.

Summary:
energy relative to the elements, uncorrected = 98 meV/atom
total DFT energy (no corrections) = -3.717 eV/atom

a = 7.9018 Å, b = 13.7917 Å, c = 7.9860 Å
α = 90.00°, β = 109.37°, γ = 90.00°
Closest atoms and distances in Å follow each position.
Space group C2/m (No. 12)
Inequivalent atoms, fractional coordinates:
Bi  0.0000  0.0000  0.0000  6 Pb 3.26-3.29
Bi  0.0000  0.1628  0.5000  6 Pb 3.24-3.28
Bi  0.0000  0.3274  0.0000  6 Pb 3.24-3.29
Sb  0.0000  0.5000  0.5000  6 Pb 3.15-3.19
Pb  0.2363  0.5000  0.2441  1 Sb 3.19, 5 Bi 3.25-3.29
Pb  0.2414  0.3376  0.7418  1 Sb 3.15, 5 Bi 3.24-3.29

A plane-wave DFT calculation with PBE was carried out for LiMnCr2 after structural relaxation.

Summary:
E above lowest polymorph = 127.4 meV/atom
energy of formation = 373 meV/atom
total DFT energy (no corrections) = -7.210 eV/atom

a = 2.4876 Å, b = 2.4876 Å, c = 27.0365 Å
α = 90.00°, β = 90.00°, γ = 120.00°
Closest atoms and distances in Å follow each position.
Space group R3m (No. 160, hexagonal axes)
Inequivalent atoms, fractional coordinates:
Li  0.0000  0.0000  0.0000  6 Li 2.49, 3 Mn 2.73
Mn  0.0000  0.0000  0.2475  6 Mn 2.49, 3 Cr 2.53, 3 Li 2.73
Cr  0.0000  0.0000  0.5037  9 Cr 2.49-2.64, 3 Mn 2.53
Cr  0.0000  0.0000  0.7553  9 Cr 2.49-2.64